# 1
SrGdLu: relaxed, GGA-PBE.

Structure (POSCAR):
```
SrGdLu
1.0
-1.877 1.877 7.879
1.877 -1.877 7.879
1.877 1.877 -7.879
Sr Gd Lu
1 1 1
Cartesian
0.000 0.000 0.000
0.000 0.000 10.826
0.000 0.000 5.076
```

Calculated values
V   37.012 Å³/atom
Polymorph energy (0 for the lowest one)   0.00 eV per formula unit
Magnetic moment   7.7 μB/f.u.
E   -0.4865 Ry/atom
DFT formation energy   0.4 eV/f.u.

# 2
Tb2GdLu: relaxed, GGA-PBE.

Structure (POSCAR):
```
Tb2GdLu
1.0
0.000 3.992 3.992
3.992 0.000 3.992
3.992 3.992 0.000
Tb Gd Lu
2 1 1
Cartesian
1.996 1.996 1.996
5.987 5.987 5.987
0.000 0.000 0.000
3.992 3.992 3.992
```

Calculated values
V   31.800 Å³/atom
Polymorph energy (0 for the lowest one)   0.41 eV per formula unit
Magnetic moment   8.7 μB/f.u.
E   -0.5028 Ry/atom
DFT formation energy   0.5 eV/f.u.

# 3
TbGd2Lu: relaxed, GGA-PBE.

Structure (POSCAR):
```
TbGd2Lu
1.0
5.015 0.000 0.000
0.000 5.015 0.000
0.000 0.000 4.996
Tb Gd Lu
1 2 1
Cartesian
0.000 0.000 0.000
0.000 2.507 2.498
2.507 0.000 2.498
2.507 2.507 0.000
```

Calculated values
V   31.412 Å³/atom
Polymorph energy (0 for the lowest one)   0.00 eV per formula unit
Magnetic moment   14.6 μB/f.u.
E   -0.6835 Ry/atom
DFT formation energy   0.1 eV/f.u.

# 4
TbGd2Lu: relaxed, GGA-PBE.

Structure (POSCAR):
```
TbGd2Lu
1.0
0.000 3.991 3.991
3.991 0.000 3.991
3.991 3.991 0.000
Tb Gd Lu
1 2 1
Cartesian
0.000 0.000 0.000
1.995 1.995 1.995
5.986 5.986 5.986
3.991 3.991 3.991
```

Calculated values
V   31.774 Å³/atom
Polymorph energy (0 for the lowest one)   0.29 eV per formula unit
Magnetic moment   15.9 μB/f.u.
E   -0.6782 Ry/atom
DFT formation energy   0.4 eV/f.u.

# 5
Tb2GdLu: relaxed, GGA-PBE.

Structure (POSCAR):
```
Tb2GdLu
1.0
4.997 0.000 0.000
0.000 4.997 0.000
0.000 0.000 5.009
Tb Gd Lu
2 1 1
Cartesian
0.000 2.499 0.000
2.499 0.000 0.000
0.000 0.000 2.505
2.499 2.499 2.505
```

Calculated values
V   31.277 Å³/atom
Polymorph energy (0 for the lowest one)   0.00 eV per formula unit
Magnetic moment   7.1 μB/f.u.
E   -0.5105 Ry/atom
DFT formation energy   0.1 eV/f.u.

# 6
TbGdLu: relaxed, GGA-PBE.

Structure (POSCAR):
```
TbGdLu
1.0
5.597 0.000 0.000
-2.798 4.847 0.000
0.000 0.000 3.445
Tb Gd Lu
1 1 1
Cartesian
0.000 0.000 0.000
2.798 1.616 1.722
0.000 3.231 1.722
```

Calculated values
V   31.149 Å³/atom
Polymorph energy (0 for the lowest one)   0.13 eV per formula unit
Magnetic moment   7.9 μB/f.u.
E   -0.5639 Ry/atom
DFT formation energy   0.2 eV/f.u.

# 7
Tb4GdLu: relaxed, GGA-PBE.

Structure (POSCAR):
```
Tb4GdLu
1.0
0.000 4.637 4.637
4.637 0.000 4.637
4.637 4.637 0.000
Tb Gd Lu
4 1 1
Cartesian
3.482 3.482 3.482
5.792 5.792 3.482
5.792 3.482 5.792
3.482 5.792 5.792
0.000 0.000 0.000
6.955 6.955 6.955
```

Calculated values
V   33.234 Å³/atom
Magnetic moment   8.1 μB/f.u.
E   -0.4366 Ry/atom
DFT formation energy   1.5 eV/f.u.

# 8
TbGd2Lu: relaxed, GGA-PBE.

Structure (POSCAR):
```
TbGd2Lu
1.0
3.547 0.000 0.000
0.000 3.547 0.000
0.000 0.000 10.001
Tb Gd Lu
1 2 1
Cartesian
0.000 0.000 0.000
1.774 1.774 2.531
1.774 1.774 7.470
0.000 0.000 5.000
```

Calculated values
V   31.460 Å³/atom
Polymorph energy (0 for the lowest one)   0.01 eV per formula unit
Magnetic moment   14.5 μB/f.u.
E   -0.6834 Ry/atom
DFT formation energy   0.1 eV/f.u.

# 9
TbGdLu: relaxed, GGA-PBE.

Structure (POSCAR):
```
TbGdLu
1.0
-1.770 1.770 7.476
1.770 -1.770 7.476
1.770 1.770 -7.476
Tb Gd Lu
1 1 1
Cartesian
0.000 0.000 0.000
0.000 0.000 4.936
0.000 0.000 9.914
```

Calculated values
V   31.231 Å³/atom
Polymorph energy (0 for the lowest one)   0.00 eV per formula unit
Magnetic moment   7.3 μB/f.u.
E   -0.5672 Ry/atom
DFT formation energy   0.1 eV/f.u.

# 10
Tb2GdLu: relaxed, GGA-PBE.

Structure (POSCAR):
```
Tb2GdLu
1.0
3.536 0.000 0.000
0.000 3.536 0.000
0.000 0.000 10.031
Tb Gd Lu
2 1 1
Cartesian
0.000 0.000 2.460
0.000 0.000 7.571
1.768 1.768 5.015
1.768 1.768 0.000
```

Calculated values
V   31.355 Å³/atom
Polymorph energy (0 for the lowest one)   0.02 eV per formula unit
Magnetic moment   7.2 μB/f.u.
E   -0.5101 Ry/atom
DFT formation energy   0.1 eV/f.u.

# 11
TbGd2Lu: relaxed, GGA-PBE.

Structure (POSCAR):
```
TbGd2Lu
1.0
1.772 1.023 11.542
-1.772 1.023 11.542
0.000 -2.047 11.542
Tb Gd Lu
1 2 1
Cartesian
0.000 0.000 0.000
0.000 0.000 8.624
0.000 0.000 26.003
0.000 0.000 17.313
```

Calculated values
V   31.401 Å³/atom
Polymorph energy (0 for the lowest one)   0.01 eV per formula unit
Magnetic moment   14.5 μB/f.u.
E   -0.6834 Ry/atom
DFT formation energy   0.1 eV/f.u.

# 12
TbGdLuTh: relaxed, GGA-PBE.

Structure (POSCAR):
```
TbGdLuTh
1.0
0.000 3.999 3.999
3.999 0.000 3.999
3.999 3.999 0.000
Tb Gd Lu Th
1 1 1 1
Cartesian
0.000 0.000 0.000
3.999 3.999 3.999
2.000 2.000 2.000
5.999 5.999 5.999
```

Calculated values
V   31.988 Å³/atom
Magnetic moment   9.4 μB/f.u.
E   -0.5506 Ry/atom
DFT formation energy   0.7 eV/f.u.

# 13
TbGdLuZn: relaxed, GGA-PBE.

Structure (POSCAR):
```
TbGdLuZn
1.0
0.000 3.755 3.755
3.755 0.000 3.755
3.755 3.755 0.000
Tb Gd Lu Zn
1 1 1 1
Cartesian
0.000 0.000 0.000
3.755 3.755 3.755
1.878 1.878 1.878
5.633 5.633 5.633
```

Calculated values
V   26.476 Å³/atom
Magnetic moment   7.5 μB/f.u.
E   -0.4497 Ry/atom
DFT formation energy   0.0 eV/f.u.

# 14
TbGdLuZr: relaxed, GGA-PBE.

Structure (POSCAR):
```
TbGdLuZr
1.0
0.000 3.862 3.862
3.862 0.000 3.862
3.862 3.862 0.000
Tb Gd Lu Zr
1 1 1 1
Cartesian
0.000 0.000 0.000
5.793 5.793 5.793
3.862 3.862 3.862
1.931 1.931 1.931
```

Calculated values
V   28.797 Å³/atom
Magnetic moment   5.4 μB/f.u.
E   -0.5689 Ry/atom
DFT formation energy   0.8 eV/f.u.

# 15
GdLu2Tc: relaxed, GGA-PBE.

Structure (POSCAR):
```
GdLu2Tc
1.0
3.420 0.000 0.000
0.000 3.420 0.000
0.000 0.000 8.669
Gd Lu Tc
1 2 1
Cartesian
0.000 0.000 0.000
1.710 1.710 2.741
1.710 1.710 5.928
0.000 0.000 4.334
```

Calculated values
V   25.346 Å³/atom
Magnetic moment   8.1 μB/f.u.
E   -0.6194 Ry/atom
DFT formation energy   -0.2 eV/f.u.

# 16
Gd2LuTc: relaxed, GGA-PBE.

Structure (POSCAR):
```
Gd2LuTc
1.0
1.710 0.987 10.753
-1.710 0.987 10.753
0.000 -1.975 10.753
Gd Lu Tc
2 1 1
Cartesian
0.000 0.000 3.325
0.000 0.000 28.933
0.000 0.000 0.000
0.000 0.000 16.129
```

Calculated values
V   27.237 Å³/atom
Polymorph energy (0 for the lowest one)   0.91 eV per formula unit
Magnetic moment   14.9 μB/f.u.
E   -0.7696 Ry/atom
DFT formation energy   1.2 eV/f.u.

# 17
GdLuTc4: relaxed, GGA-PBE.

Structure (POSCAR):
```
GdLuTc4
1.0
0.000 3.811 3.811
3.811 0.000 3.811
3.811 3.811 0.000
Gd Lu Tc
1 1 4
Cartesian
0.000 0.000 0.000
5.717 5.717 5.717
2.859 2.859 2.859
4.763 4.763 2.859
4.763 2.859 4.763
2.859 4.763 4.763
```

Calculated values
V   18.452 Å³/atom
Magnetic moment   6.1 μB/f.u.
E   -0.7467 Ry/atom
DFT formation energy   -0.9 eV/f.u.

# 18
Gd2LuTc: relaxed, GGA-PBE.

Structure (POSCAR):
```
Gd2LuTc
1.0
3.467 0.000 0.000
0.000 3.467 0.000
0.000 0.000 8.721
Gd Lu Tc
2 1 1
Cartesian
0.000 0.000 1.673
0.000 0.000 7.048
1.733 1.733 4.360
1.733 1.733 0.000
```

Calculated values
V   26.201 Å³/atom
Polymorph energy (0 for the lowest one)   0.00 eV per formula unit
Magnetic moment   13.8 μB/f.u.
E   -0.7864 Ry/atom
DFT formation energy   0.2 eV/f.u.

# 19
GdLuZnTc: relaxed, GGA-PBE.

Structure (POSCAR):
```
GdLuZnTc
1.0
0.000 3.463 3.463
3.463 0.000 3.463
3.463 3.463 0.000
Gd Lu Zn Tc
1 1 1 1
Cartesian
0.000 0.000 0.000
3.463 3.463 3.463
1.732 1.732 1.732
5.195 5.195 5.195
```

Calculated values
V   20.767 Å³/atom
Magnetic moment   7.2 μB/f.u.
E   -0.5672 Ry/atom
DFT formation energy   -0.6 eV/f.u.

# 20
Gd2LuTe: relaxed, GGA-PBE.

Structure (POSCAR):
```
Gd2LuTe
1.0
1.934 1.117 9.878
-1.934 1.117 9.878
0.000 -2.233 9.878
Gd Lu Te
2 1 1
Cartesian
0.000 0.000 7.101
0.000 0.000 22.532
0.000 0.000 0.000
0.000 0.000 14.817
```

Calculated values
V   32.002 Å³/atom
Polymorph energy (0 for the lowest one)   0.00 eV per formula unit
E_form (uncorrected)   -0.533 eV/atom
Magnetic moment   15.7 μB/f.u.
E   -0.6974 Ry/atom

# 21
GdLuTe2: relaxed, GGA-PBE.

Structure (POSCAR):
```
GdLuTe2
1.0
0.000 3.770 3.770
3.770 0.000 3.770
3.770 3.770 0.000
Gd Lu Te
1 1 2
Cartesian
0.000 0.000 0.000
3.770 3.770 3.770
1.885 1.885 1.885
5.656 5.656 5.656
```

Calculated values
V   26.800 Å³/atom
Polymorph energy (0 for the lowest one)   0.01 eV per formula unit
E_form (uncorrected)   -1.132 eV/atom
Magnetic moment   8.3 μB/f.u.
E   -0.5405 Ry/atom

# 22
GdLuTe: relaxed, GGA-PBE.

Structure (POSCAR):
```
GdLuTe
1.0
5.140 0.000 0.000
-2.570 4.451 0.000
0.000 0.000 3.929
Gd Lu Te
1 1 1
Cartesian
0.000 0.000 0.000
0.000 2.968 1.957
2.570 1.484 1.333
```

Calculated values
V   29.966 Å³/atom
Polymorph energy (0 for the lowest one)   0.85 eV per formula unit
E_form (uncorrected)   -0.479 eV/atom
Magnetic moment   7.3 μB/f.u.
E   -0.5679 Ry/atom

# 23
GdLuTe: relaxed, GGA-PBE.

Structure (POSCAR):
```
GdLuTe
1.0
-1.922 1.922 5.765
1.922 -1.922 5.765
1.922 1.922 -5.765
Gd Lu Te
1 1 1
Cartesian
0.000 0.000 0.000
0.000 0.000 3.602
0.000 0.000 7.681
```

Calculated values
V   28.407 Å³/atom
Polymorph energy (0 for the lowest one)   0.00 eV per formula unit
E_form (uncorrected)   -0.761 eV/atom
Magnetic moment   7.3 μB/f.u.
E   -0.5887 Ry/atom

# 24
GdLuTe2: relaxed, GGA-PBE.

Structure (POSCAR):
```
GdLuTe2
1.0
5.330 0.000 0.000
0.000 5.330 0.000
0.000 0.000 3.773
Gd Lu Te
1 1 2
Cartesian
0.000 0.000 0.000
2.665 2.665 0.000
0.000 2.665 1.886
2.665 0.000 1.886
```

Calculated values
V   26.796 Å³/atom
Polymorph energy (0 for the lowest one)   0.00 eV per formula unit
E_form (uncorrected)   -1.136 eV/atom
Magnetic moment   8.2 μB/f.u.
E   -0.5407 Ry/atom

# 25
Gd2LuTe: relaxed, GGA-PBE.

Structure (POSCAR):
```
Gd2LuTe
1.0
4.982 0.000 0.000
0.000 4.982 0.000
0.000 0.000 4.524
Gd Lu Te
2 1 1
Cartesian
0.000 2.491 0.000
2.491 0.000 0.000
0.000 0.000 2.262
2.491 2.491 2.262
```

Calculated values
V   28.075 Å³/atom
Polymorph energy (0 for the lowest one)   0.32 eV per formula unit
E_form (uncorrected)   -0.454 eV/atom
Magnetic moment   15.4 μB/f.u.
E   -0.6916 Ry/atom

# 26
Gd2LuTh: relaxed, GGA-PBE.

Structure (POSCAR):
```
Gd2LuTh
1.0
4.991 0.000 0.000
0.000 4.991 0.000
0.000 0.000 5.057
Gd Lu Th
2 1 1
Cartesian
0.000 2.495 0.000
2.495 0.000 0.000
0.000 0.000 2.529
2.495 2.495 2.529
```

Calculated values
V   31.490 Å³/atom
Polymorph energy (0 for the lowest one)   0.00 eV per formula unit
Magnetic moment   14.6 μB/f.u.
E   -0.7342 Ry/atom
DFT formation energy   0.1 eV/f.u.

# 27
Gd2LuTh: relaxed, GGA-PBE.

Structure (POSCAR):
```
Gd2LuTh
1.0
3.558 0.000 0.000
0.000 3.558 0.000
0.000 0.000 10.031
Gd Lu Th
2 1 1
Cartesian
0.000 0.000 2.475
0.000 0.000 7.556
1.779 1.779 5.016
1.779 1.779 0.000
```

Calculated values
V   31.740 Å³/atom
Polymorph energy (0 for the lowest one)   0.04 eV per formula unit
Magnetic moment   14.3 μB/f.u.
E   -0.7335 Ry/atom
DFT formation energy   0.2 eV/f.u.

# 28
GdLu2Th: relaxed, GGA-PBE.

Structure (POSCAR):
```
GdLu2Th
1.0
3.552 0.000 0.000
0.000 3.552 0.000
0.000 0.000 9.830
Gd Lu Th
1 2 1
Cartesian
0.000 0.000 0.000
1.776 1.776 2.515
1.776 1.776 7.316
0.000 0.000 4.915
```

Calculated values
V   31.014 Å³/atom
Magnetic moment   7.6 μB/f.u.
E   -0.5596 Ry/atom
DFT formation energy   0.1 eV/f.u.

# 29
Gd2LuTh: relaxed, GGA-PBE.

Structure (POSCAR):
```
Gd2LuTh
1.0
1.780 1.028 11.551
-1.780 1.028 11.551
0.000 -2.055 11.551
Gd Lu Th
2 1 1
Cartesian
0.000 0.000 8.637
0.000 0.000 26.016
0.000 0.000 0.000
0.000 0.000 17.326
```

Calculated values
V   31.689 Å³/atom
Polymorph energy (0 for the lowest one)   0.01 eV per formula unit
Magnetic moment   14.6 μB/f.u.
E   -0.7340 Ry/atom
DFT formation energy   0.2 eV/f.u.

# 30
GdLuTh: relaxed, GGA-PBE.

Structure (POSCAR):
```
GdLuTh
1.0
3.555 0.000 0.000
-1.778 3.079 0.000
0.000 0.000 8.604
Gd Lu Th
1 1 1
Cartesian
0.000 0.000 0.000
1.778 1.026 2.971
0.000 2.053 5.761
```

Calculated values
V   31.393 Å³/atom
Magnetic moment   7.3 μB/f.u.
E   -0.6357 Ry/atom
DFT formation energy   0.1 eV/f.u.

# 31
GdLuThTl: relaxed, GGA-PBE.

Structure (POSCAR):
```
GdLuThTl
1.0
0.000 3.892 3.892
3.892 0.000 3.892
3.892 3.892 0.000
Gd Lu Th Tl
1 1 1 1
Cartesian
0.000 0.000 0.000
1.946 1.946 1.946
3.892 3.892 3.892
5.837 5.837 5.837
```

Calculated values
V   29.468 Å³/atom
Magnetic moment   7.5 μB/f.u.
E   -0.5203 Ry/atom
DFT formation energy   0.1 eV/f.u.